Ti2AsAu | GGA-PBE | relaxed

Cell and atoms, written as POSCAR:
```
Ti2AsAu
1.0
-0.7414 2.6932 -2.1771
-0.1170 -0.5324 -3.4994
-6.8541 -0.7317 -1.4516
Au Ti As
1 2 1
direct
0.5000 0.5000 0.5000
0.7397 0.7397 0.7810
0.2603 0.2603 0.2190
0.0000 0.0000 0.0000
```

Summary:
Size of the total moment = 0.000 μB per formula unit
ΔH_f (0 K) = -488 meV per atom
Density of states at the Fermi level = 2.401 states/eV/cell
ρ = 8.34 g/cm3
Space-group type = No. 166
VASP energy = -25.67 eV for the cell shown

Ti3AsAu | GGA-PBE | relaxed

Cell and atoms, written as POSCAR:
```
Ti3AsAu
1.0
4.6495 0.0000 0.0000
0.0000 4.6495 0.0000
0.0000 0.0000 4.6495
Au As Ti
1 1 3
direct
0.5000 0.5000 0.5000
0.0000 0.0000 0.0000
0.5000 0.0000 0.0000
0.0000 0.5000 0.0000
0.0000 0.0000 0.5000
```

Summary:
Size of the total moment = 0.001 μB per formula unit
ΔH_f (0 K) = 60 meV per atom
Density of states at the Fermi level = 4.076 states/eV/cell
ρ = 6.86 g/cm3
Space-group type = No. 221
VASP energy = -31.31 eV for the cell shown

Ti2As4Au | GGA-PBE | relaxed

Cell and atoms, written as POSCAR:
```
Ti2As4Au
1.0
-4.6691 1.2351 -0.7524
0.5568 -0.8115 -4.7878
-3.9430 -6.3748 -1.8732
As Ti Au
4 2 1
direct
0.7719 0.7719 0.4562
0.0000 0.5000 0.0000
0.2281 0.2281 0.5438
0.5000 0.0000 0.0000
0.5947 0.5947 0.8106
0.4053 0.4053 0.1894
0.0000 0.0000 0.0000
```

Summary:
Size of the total moment = 0.000 μB per formula unit
ΔH_f (0 K) = 294 meV per atom
Density of states at the Fermi level = 5.456 states/eV/cell
ρ = 5.96 g/cm3
Space-group type = No. 139
VASP energy = -35.61 eV for the cell shown

TiAs2Au2 | GGA-PBE | relaxed

Cell and atoms, written as POSCAR:
```
TiAs2Au2
1.0
3.6472 0.0000 0.0000
0.0000 3.6472 0.0000
1.8236 1.8236 7.4935
As Ti Au
2 1 2
direct
0.7500 0.2500 0.5000
0.2500 0.7500 0.5000
0.0000 0.0000 0.0000
0.4067 0.4067 0.1866
0.5933 0.5933 0.8134
```

Summary:
Size of the total moment = 1.050 μB per formula unit
ΔH_f (0 K) = 180 meV per atom
Density of states at the Fermi level = 4.396 states/eV/cell
ρ = 9.86 g/cm3
Space-group type = No. 139
VASP energy = -22.85 eV for the cell shown

TiAs2Au2 | GGA-PBE | relaxed

Cell and atoms, written as POSCAR:
```
TiAs2Au2
1.0
6.9852 0.0000 0.0000
0.0000 6.9852 0.0000
0.0000 0.0000 3.8222
Au As Ti
4 4 2
direct
0.1481 0.6481 0.5000
0.8519 0.3519 0.5000
0.3519 0.1481 0.5000
0.6481 0.8519 0.5000
0.1634 0.3366 0.0000
0.8366 0.6634 0.0000
0.3366 0.8366 0.0000
0.6634 0.1634 0.0000
0.5000 0.5000 0.0000
0.0000 0.0000 0.0000
```

Summary:
Size of the total moment = 0.054 μB per formula unit
ΔH_f (0 K) = -56 meV per atom
Density of states at the Fermi level = 4.867 states/eV/cell
ρ = 10.54 g/cm3
Space-group type = No. 127
VASP energy = -48.06 eV for the cell shown

Ti2AsAu | GGA-PBE | relaxed

Cell and atoms, written as POSCAR:
```
Ti2AsAu
1.0
-0.5442 5.3447 4.6272
-6.0467 2.0524 -3.0818
-4.7768 2.0068 2.5526
Ti As Au
4 2 2
direct
0.8750 0.8614 0.7500
0.1386 0.6250 0.2500
0.6114 0.1250 0.2500
0.3750 0.3886 0.7500
0.5000 0.5000 0.0000
0.2500 0.7500 0.5000
0.7500 0.2500 0.5000
0.0000 0.0000 0.0000
```

Summary:
Size of the total moment = 0.000 μB per formula unit
ΔH_f (0 K) = -302 meV per atom
Density of states at the Fermi level = 9.493 states/eV/cell
ρ = 8.47 g/cm3
Space-group type = No. 122
VASP energy = -49.85 eV for the cell shown

TiAs3Au | GGA-PBE | relaxed

Cell and atoms, written as POSCAR:
```
TiAs3Au
1.0
4.8519 0.0000 0.0000
0.0000 4.8519 0.0000
0.0000 0.0000 4.8519
Au As Ti
1 3 1
direct
0.5000 0.5000 0.5000
0.0000 0.5000 0.0000
0.0000 0.0000 0.5000
0.5000 0.0000 0.0000
0.0000 0.0000 0.0000
```

Summary:
Size of the total moment = 0.000 μB per formula unit
ΔH_f (0 K) = 278 meV per atom
Density of states at the Fermi level = 3.392 states/eV/cell
ρ = 6.83 g/cm3
Space-group type = No. 221
VASP energy = -23.73 eV for the cell shown

TiTlAs2Au | GGA-PBE | relaxed

Cell and atoms, written as POSCAR:
```
TiTlAs2Au
1.0
5.1960 0.0000 0.0000
0.0000 5.2402 0.0000
0.0000 0.0000 5.1960
As Au Tl Ti
2 1 1 1
direct
0.5000 0.0000 0.0000
0.0000 0.0000 0.5000
0.5000 0.5000 0.5000
0.0000 0.0000 0.0000
0.0000 0.5000 0.0000
```

Summary:
Size of the total moment = 0.131 μB per formula unit
ΔH_f (0 K) = 1315 meV per atom
Density of states at the Fermi level = 5.523 states/eV/cell
ρ = 7.03 g/cm3
Space-group type = No. 123
VASP energy = -16.26 eV for the cell shown

TlAs2Au | GGA-PBE | relaxed

Cell and atoms, written as POSCAR:
```
TlAs2Au
1.0
-5.4709 -1.3642 -3.6586
-0.7045 -3.8072 -5.4942
2.3816 0.4305 6.2706
Tl Au As
1 1 2
direct
0.1957 0.6957 0.5000
0.4857 0.4857 0.0000
0.8364 0.3364 0.5000
0.9823 0.9823 0.0000
```

Summary:
Size of the total moment = 0.000 μB per formula unit
ΔH_f (0 K) = 135 meV per atom
Density of states at the Fermi level = 1.433 states/eV/cell
ρ = 9.39 g/cm3
Space-group type = No. 44
VASP energy = -14.40 eV for the cell shown

Tl2AsAu | GGA-PBE | relaxed

Cell and atoms, written as POSCAR:
```
Tl2AsAu
1.0
-2.1379 -2.6316 -0.1522
2.6346 -2.1269 -0.2319
0.2122 -0.6642 8.5015
Tl Au As
2 1 1
direct
0.0000 0.0000 0.5096
0.0000 0.0000 0.9904
0.5000 0.5000 0.7500
0.5000 0.5000 0.2500
```

Summary:
Size of the total moment = 0.000 μB per formula unit
ΔH_f (0 K) = 192 meV per atom
Density of states at the Fermi level = 3.090 states/eV/cell
ρ = 11.50 g/cm3
Space-group type = No. 123
VASP energy = -11.89 eV for the cell shown